# 1
First-principles (PBE) data for a geometry-optimized YNb2FeBr structure, as listed in Alexandria.

Lattice parameters (Å, degrees): 4.611 4.611 5.255 90.00 90.00 90.00
Space group P4/mmm (No. 123)
Unique sites:
Y  0.000  0.000  0.000 x1
Nb  0.000  0.500  0.500 x2
Fe  0.500  0.500  0.500 x1
Br  0.500  0.500  0.000 x1


# 2
First-principles (PBE) data for a geometry-optimized NdFe2Br8 structure, as listed in Alexandria.

Lattice parameters (Å, degrees): 12.805 10.424 6.681 90.00 95.30 90.00
Space group C2/m (No. 12)
Unique sites:
Nd  0.000  0.000  0.000 x2
Fe  0.198  0.000  0.649 x4
Br  0.103  0.186  0.760 x8
Br  0.130  0.500  0.218 x4
Br  0.190  0.000  0.284 x4


# 3
First-principles (PBE) data for a geometry-optimized NdFeBr structure, as listed in Alexandria.

Lattice parameters (Å, degrees): 3.9915 3.9915 35.3706 90.00 90.00 120.00
Space group R-3m (No. 166, hexagonal axes)
Unique sites:
Nd  0.0000  0.0000  0.0578 x6
Fe  0.0000  0.0000  0.3345 x6
Br  0.0000  0.0000  0.2195 x6


# 4
First-principles (PBE) data for a geometry-optimized Nd4FeBr5 structure, as listed in Alexandria.

Lattice parameters (Å, degrees): 18.394 4.121 9.112 90.00 104.67 90.00
Space group C2/m (No. 12)
Unique sites:
Nd  0.001  0.000  0.229 x4
Nd  0.138  0.500  0.073 x4
Fe  0.000  0.500  0.000 x2
Br  0.000  0.500  0.500 x2
Br  0.168  0.000  0.323 x4
Br  0.170  0.000  0.848 x4


# 5
First-principles (PBE) data for a geometry-optimized Nd7FeBr12 structure, as listed in Alexandria.

Lattice parameters (Å, degrees): 15.2317 15.2317 10.8060 90.00 90.00 120.00
Space group R-3 (No. 148, hexagonal axes)
Unique sites:
Nd  0.0000  0.0000  0.0000 x3
Nd  0.0409  0.1631  0.3591 x18
Fe  0.0000  0.0000  0.5000 x3
Br  0.0225  0.5848  0.1579 x18
Br  0.0441  0.1691  0.8354 x18


# 6
First-principles (PBE) data for a geometry-optimized Nd3FeBr3 structure, as listed in Alexandria.

Lattice parameters (Å, degrees): 11.856 11.856 11.856 90.00 90.00 90.00
Space group I4_132 (No. 214)
Unique sites:
Nd  0.108  0.358  0.125 x24
Fe  0.125  0.125  0.125 x8
Br  0.118  0.132  0.625 x24


# 7
First-principles (PBE) data for a geometry-optimized Nd6FeNi2Br3 structure, as listed in Alexandria.

Lattice parameters (Å, degrees): 6.980 12.093 8.135 90.00 106.62 90.00
Space group C2/m (No. 12)
Unique sites:
Nd  0.226  0.161  0.194 x8
Nd  0.242  0.500  0.194 x4
Fe  0.000  0.000  0.000 x2
Ni  0.000  0.333  0.000 x4
Br  0.000  0.165  0.500 x4
Br  0.000  0.500  0.500 x2


# 8
First-principles (PBE) data for a geometry-optimized FeNiBr structure, as listed in Alexandria.

Calculated values
- Energy relative to the lowest polymorph listed for this composition: 0.77 eV/f.u.

Lattice parameters (Å, degrees): 5.805 5.805 5.805 90.00 90.00 90.00
Space group F-43m (No. 216)
Unique sites:
Fe  0.000  0.000  0.000 x4
Ni  0.250  0.250  0.250 x4
Br  0.250  0.250  0.750 x4


# 9
First-principles (PBE) data for a geometry-optimized Fe3NiBr9 structure, as listed in Alexandria.

Lattice parameters (Å, degrees): 19.746 9.121 13.792 90.00 132.67 90.00
Space group Cc (No. 9)
Unique sites:
Fe  0.000  0.029  0.000 x4
Fe  0.144  0.393  0.291 x4
Fe  0.232  0.095  0.566 x4
Ni  0.309  0.248  0.910 x4
Br  0.010  0.465  0.238 x4
Br  0.069  0.135  0.444 x4
Br  0.135  0.175  0.177 x4
Br  0.197  0.418  0.738 x4
Br  0.239  0.127  0.981 x4
Br  0.275  0.323  0.523 x4
Br  0.336  0.085  0.801 x4
Br  0.389  0.327  0.323 x4
Br  0.449  0.376  0.082 x4


# 10
First-principles (PBE) data for a geometry-optimized FeNiBr5 structure, as listed in Alexandria.

Lattice parameters (Å, degrees): 9.987 9.190 10.238 90.00 118.27 90.00
Space group C2/c (No. 15)
Unique sites:
Fe  0.000  0.195  0.250 x4
Ni  0.000  0.500  0.000 x4
Br  0.000  0.479  0.250 x4
Br  0.033  0.243  0.024 x8
Br  0.205  0.028  0.364 x8


# 11
First-principles (PBE) data for a geometry-optimized Fe4NiBr structure, as listed in Alexandria.

Lattice parameters (Å, degrees): 6.924 6.924 6.924 90.00 90.00 90.00
Space group F-43m (No. 216)
Unique sites:
Fe  0.124  0.124  0.124 x16
Ni  0.250  0.250  0.750 x4
Br  0.000  0.000  0.500 x4


# 12
First-principles (PBE) data for a geometry-optimized FeNiBr2 structure, as listed in Alexandria.

Calculated values
- Energy relative to the lowest polymorph listed for this composition: 1.93 eV/f.u.

Lattice parameters (Å, degrees): 3.376 6.997 7.440 90.00 90.00 90.00
Space group Immm (No. 71)
Unique sites:
Fe  0.000  0.000  0.000 x2
Ni  0.000  0.000  0.500 x2
Br  0.000  0.500  0.242 x4


# 13
First-principles (PBE) data for a geometry-optimized FeNiBr structure, as listed in Alexandria.

Calculated values
- Energy relative to the lowest polymorph listed for this composition: 0.98 eV/f.u.

Lattice parameters (Å, degrees): 5.900 5.900 5.900 90.00 90.00 90.00
Space group F-43m (No. 216)
Unique sites:
Fe  0.000  0.000  0.000 x4
Ni  0.250  0.250  0.250 x4
Br  0.000  0.000  0.500 x4


# 14
First-principles (PBE) data for a geometry-optimized FeNiBr2 structure, as listed in Alexandria.

Calculated values
- Energy relative to the lowest polymorph listed for this composition: 0.83 eV/f.u.

Lattice parameters (Å, degrees): 3.457 3.608 14.525 90.00 90.00 90.00
Space group Imm2 (No. 44)
Unique sites:
Fe  0.000  0.000  0.000 x2
Ni  0.000  0.500  0.611 x2
Br  0.000  0.000  0.418 x2
Br  0.000  0.500  0.151 x2


# 15
First-principles (PBE) data for a geometry-optimized FeNiBr2 structure, as listed in Alexandria.

Calculated values
- Energy relative to the lowest polymorph listed for this composition: 2.06 eV/f.u.

Lattice parameters (Å, degrees): 3.371 3.745 6.459 90.00 90.00 90.00
Space group Pmmm (No. 47)
Unique sites:
Fe  0.000  0.000  0.000 x1
Ni  0.500  0.000  0.500 x1
Br  0.000  0.500  0.500 x1
Br  0.500  0.500  0.000 x1


# 16
First-principles (PBE) data for a geometry-optimized Fe2NiBr structure, as listed in Alexandria.

Calculated values
- Energy relative to the lowest polymorph listed for this composition: 0.25 eV/f.u.

Lattice parameters (Å, degrees): 3.115 3.115 6.216 90.00 90.00 90.00
Space group P4mm (No. 99)
Unique sites:
Fe  0.000  0.000  0.000 x1
Fe  0.500  0.500  0.217 x1
Ni  0.000  0.000  0.396 x1
Br  0.500  0.500  0.726 x1


# 17
First-principles (PBE) data for a geometry-optimized FeNi3Br structure, as listed in Alexandria.

Calculated values
- Energy relative to the lowest polymorph listed for this composition: 0.24 eV/f.u.

Lattice parameters (Å, degrees): 4.317 4.317 4.317 90.00 90.00 90.00
Space group Pm-3m (No. 221)
Unique sites:
Fe  0.000  0.000  0.000 x1
Ni  0.000  0.500  0.500 x3
Br  0.500  0.500  0.500 x1


# 18
First-principles (PBE) data for a geometry-optimized FeNiBr2 structure, as listed in Alexandria.

Calculated values
- Energy relative to the lowest polymorph listed for this composition: 3.63 eV/f.u.

Lattice parameters (Å, degrees): 6.312 6.312 6.312 90.00 90.00 90.00
Space group Fm-3m (No. 225)
Unique sites:
Fe  0.000  0.000  0.000 x4
Ni  0.000  0.000  0.500 x4
Br  0.250  0.250  0.250 x8


# 19
First-principles (PBE) data for a geometry-optimized Fe2NiBr structure, as listed in Alexandria.

Calculated values
- Energy relative to the lowest polymorph listed for this composition: 1.40 eV/f.u.

Lattice parameters (Å, degrees): 5.116 7.626 2.911 90.00 90.00 90.00
Space group Cmmm (No. 65)
Unique sites:
Fe  0.250  0.250  0.000 x4
Ni  0.000  0.000  0.500 x2
Br  0.000  0.500  0.500 x2


# 20
First-principles (PBE) data for a geometry-optimized Fe3NiBr structure, as listed in Alexandria.

Calculated values
- Energy relative to the lowest polymorph listed for this composition: 0.00 eV/f.u.

Lattice parameters (Å, degrees): 4.463 4.463 4.463 90.00 90.00 90.00
Space group Pm-3m (No. 221)
Unique sites:
Fe  0.000  0.000  0.500 x3
Ni  0.000  0.000  0.000 x1
Br  0.500  0.500  0.500 x1


Number 1: E_tot -0.487 Ry/atom, formation energy (no corrections) 346 kJ/mol of formula units, density 6.1 g/cm3. Number 2: E_tot -0.304 Ry/atom, formation energy (no corrections) -1009 kJ/mol of formula units, density 3.3 g/cm3. Number 3: E_tot -0.429 Ry/atom, formation energy (no corrections) -251 kJ/mol of formula units, density 5.7 g/cm3. Number 4: E_tot -0.359 Ry/atom, formation energy (no corrections) -1245 kJ/mol of formula units, density 5.1 g/cm3. Number 5: E_tot -0.342 Ry/atom, formation energy (no corrections) -3011 kJ/mol of formula units, density 4.6 g/cm3. Number 6: E_tot -0.370 Ry/atom, formation energy (no corrections) -715 kJ/mol of formula units, density 5.8 g/cm3. Number 7: E_tot -0.383 Ry/atom, formation energy (no corrections) -850 kJ/mol of formula units, density 6.5 g/cm3. Number 8: E_tot -0.342 Ry/atom, formation energy (no corrections) 188 kJ/mol of formula units, density 6.6 g/cm3. Number 9: E_tot -0.289 Ry/atom, formation energy (no corrections) -471 kJ/mol of formula units, density 3.4 g/cm3. Number 10: E_tot -0.262 Ry/atom, formation energy (no corrections) -228 kJ/mol of formula units, density 4.1 g/cm3. Number 11: E_tot -0.458 Ry/atom, formation energy (no corrections) 375 kJ/mol of formula units, density 7.2 g/cm3. Number 12: E_tot -0.292 Ry/atom, formation energy (no corrections) 166 kJ/mol of formula units, density 5.2 g/cm3. Number 13: E_tot -0.337 Ry/atom, formation energy (no corrections) 209 kJ/mol of formula units, density 6.3 g/cm3. Number 14: E_tot -0.312 Ry/atom, formation energy (no corrections) 60 kJ/mol of formula units, density 5.0 g/cm3. Number 15: E_tot -0.289 Ry/atom, formation energy (no corrections) 178 kJ/mol of formula units, density 5.6 g/cm3. Number 16: E_tot -0.421 Ry/atom, formation energy (no corrections) 143 kJ/mol of formula units, density 6.9 g/cm3. Number 17: E_tot -0.323 Ry/atom, formation energy (no corrections) 533 kJ/mol of formula units, density 6.4 g/cm3. Number 18: E_tot -0.260 Ry/atom, formation energy (no corrections) 331 kJ/mol of formula units, density 7.2 g/cm3. Number 19: E_tot -0.399 Ry/atom, formation energy (no corrections) 255 kJ/mol of formula units, density 7.3 g/cm3. Number 20: E_tot -0.412 Ry/atom, formation energy (no corrections) 462 kJ/mol of formula units, density 5.7 g/cm3.